A relaxed AgIrCl2 crystal, computed with PBE.

Unit cell a=9.2211 b=9.2211 c=9.2211 alpha=21.95 beta=21.95 gamma=21.95
Last column: magnetic moment on the atom in μB.
Atoms (fractional coordinates):
Cl  0.8839  0.8839  0.8839  0.08
Cl  0.1161  0.1161  0.1161  0.08
Ag  0.0000  0.0000  0.0000  0.00
Ir  0.5000  0.5000  0.5000  0.60

Results
Formation energy (no corrections), eV/atom: 0.45
E above lowest polymorph, eV per atom: 0.414
Uncorrected energy, eV per formula unit: -13.61
SG: R-3m